Record 1
GGA-PBE Mn2HgCl, relaxed; electronic total energy = -5.06 eV/atom; E above lowest polymorph = 0 meV per atom; DOS at the Fermi energy = 2.10 states/eV per cell; magnetic moment = 7.7 μB/cell; crystal system = trigonal; calculated density = 7.4 Mg/m³
1.0
9.117 0.202 0.120
8.497 3.311 0.120
8.497 1.695 2.847
Mn Hg Cl
2 1 1
Direct
0.990 0.990 0.990
0.248 0.248 0.248
0.741 0.741 0.741
0.521 0.521 0.521



Record 2
GGA-PBE Pm8AlTl2, relaxed; electronic total energy = -4.41 eV/atom; E above lowest polymorph = 0 meV per atom; DOS at the Fermi energy = 10.11 states/eV per cell; E_form = -1.98 eV/f.u.; magnetic moment = 0.0 μB/cell; crystal system = monoclinic; calculated density = 7.7 Mg/m³
1.0
5.165 0.000 -1.668
-1.351 7.619 -4.183
-0.010 -0.151 8.801
Pm Al Tl
8 1 2
Direct
0.591 0.437 0.182
0.323 0.050 0.646
0.131 0.177 0.262
0.067 0.718 0.133
0.869 0.823 0.738
0.677 0.950 0.354
0.409 0.563 0.818
0.933 0.282 0.867
0.500 0.000 0.000
0.224 0.618 0.448
0.776 0.382 0.552



Record 3
GGA-PBE LaMg2Sn2, relaxed; electronic total energy = -3.70 eV/atom; E above lowest polymorph = 0 meV per atom; DOS at the Fermi energy = 2.75 states/eV per cell; E_form = -2.38 eV/f.u.; magnetic moment = 0.0 μB/cell; crystal system = tetragonal; calculated density = 5.2 Mg/m³
1.0
4.564 0.000 0.000
0.000 4.564 0.000
2.282 2.282 6.473
Mg Sn La
2 2 1
Direct
0.750 0.250 0.500
0.250 0.750 0.500
0.389 0.389 0.222
0.611 0.611 0.778
0.000 0.000 0.000



Record 4
GGA-PBE AcCdNiAu, relaxed; electronic total energy = -3.80 eV/atom; DOS at the Fermi energy = 2.53 states/eV per cell; E_form = -1.11 eV/f.u.; magnetic moment = 0.0 μB/cell; crystal system = cubic; calculated density = 10.6 Mg/m³
1.0
-0.853 3.279 3.805
-4.135 -0.519 2.931
0.481 -1.529 4.837
Ni Ac Au Cd
1 1 1 1
Direct
0.250 0.250 0.250
0.000 0.000 0.000
0.750 0.750 0.750
0.500 0.500 0.500



> What is the formula in the fourth record?

AcCdNiAu



Repeat the first record exactly.
GGA-PBE Mn2HgCl, relaxed; electronic total energy = -5.06 eV/atom; E above lowest polymorph = 0 meV per atom; DOS at the Fermi energy = 2.10 states/eV per cell; magnetic moment = 7.7 μB/cell; crystal system = trigonal; calculated density = 7.4 Mg/m³
1.0
9.117 0.202 0.120
8.497 3.311 0.120
8.497 1.695 2.847
Mn Hg Cl
2 1 1
Direct
0.990 0.990 0.990
0.248 0.248 0.248
0.741 0.741 0.741
0.521 0.521 0.521



> calculated density of number 4 (AcCdNiAu)?

10.6 Mg/m³